[1]
A PBEsol-optimized structure of TaAu2Br, computed with SCAN.

a b c (Å): 2.985 4.648 5.234
angles (deg): 90.00 90.00 90.00
Atoms (fractional coordinates):
Au 0.000 0.000 0.000
Au 0.500 0.500 0.000
Br 0.500 0.000 0.500
Ta 0.000 0.500 0.500

Calculated values
The energy relative to the elements, uncorrected comes out at 0.54 eV per atom. The density of states at the Fermi level is 0.902 states/eV/atom. As for the space-group type: Pmmm (47). The value obtained for the excess energy over the best structure of this formula in the dataset is 55.6 kJ/mol of atoms. The total energy is -2.0413 Ha/atom.

[2]
A PBEsol-optimized structure of CaTa2Hg, computed with SCAN.

a b c (Å): 3.453 3.453 7.255
angles (deg): 90.00 90.00 90.00
Atoms (fractional coordinates):
Ca 0.500 0.500 0.500
Hg 0.000 0.000 0.777
Ta 0.500 0.500 0.030
Ta 0.000 0.000 0.193

Calculated values
The density of states at the Fermi level is 0.625 states/eV/atom. As for the space-group type: P4mm (99). The total energy is -1.9314 Ha/atom. The value obtained for the energy of formation is 0.19 eV per atom.

[3]
A PBEsol-optimized structure of BH2Rh2, computed with SCAN.

a b c (Å): 2.725 2.725 5.541
angles (deg): 104.24 104.24 90.00
Atoms (fractional coordinates):
H 0.250 0.750 0.500
H 0.750 0.250 0.500
B 0.000 0.000 0.000
Rh 0.375 0.375 0.750
Rh 0.625 0.625 0.250

Calculated values
The density of states at the Fermi level is 0.219 states/eV/atom. As for the space-group type: I4/mmm (139). The total energy is -0.6030 Ha/atom.

Please write out number 3 again, unchanged.
A PBEsol-optimized structure of BH2Rh2, computed with SCAN.

a b c (Å): 2.725 2.725 5.541
angles (deg): 104.24 104.24 90.00
Atoms (fractional coordinates):
H 0.250 0.750 0.500
H 0.750 0.250 0.500
B 0.000 0.000 0.000
Rh 0.375 0.375 0.750
Rh 0.625 0.625 0.250

Calculated values
The density of states at the Fermi level is 0.219 states/eV/atom. As for the space-group type: I4/mmm (139). The total energy is -0.6030 Ha/atom.